First-principles (PBE) data for a geometry-optimized PrYTm structure, as listed in the Alexandria database.

Unit cell a=3.605 b=6.207 c=9.478 alpha=96.18 beta=100.91 gamma=106.87
Space group P-1 (No. 2)
One atom of each set of equivalent atoms:
Pr  0.246  0.246  0.247 [2 per cell]
Y  0.082  0.750  0.414 [2 per cell]
Tm  0.414  0.745  0.082 [2 per cell]

Results
The calculation puts the final energy at -15.7 eV per formula unit. The energy above the most stable polymorph in this dataset is 0.000 eV/atom. The formation energy comes out at 2 kJ/mol of atoms.